PBE Tm4GaIr, relaxed; E_tot = -5.5846 eV per atom; energy above the lowest structure with this stoichiometry = 0 meV per atom; energy of formation = -0.622 eV per atom; calculated volume = 24.3 Å³ per atom
1.0
0.000 6.630 6.630
6.630 0.000 6.630
6.630 6.630 0.000
Tm Ga Ir
16 4 4
direct
0.055 0.055 0.445
0.055 0.445 0.055
0.055 0.445 0.445
0.185 0.605 0.605
0.189 0.189 0.811
0.189 0.811 0.189
0.189 0.811 0.811
0.445 0.055 0.055
0.445 0.055 0.445
0.445 0.445 0.055
0.605 0.185 0.605
0.605 0.605 0.185
0.605 0.605 0.605
0.811 0.189 0.189
0.811 0.189 0.811
0.811 0.811 0.189
0.500 0.833 0.833
0.833 0.500 0.833
0.833 0.833 0.500
0.833 0.833 0.833
0.392 0.392 0.392
0.392 0.392 0.823
0.392 0.823 0.392
0.823 0.392 0.392